# TaAsSeN2 | the Alexandria database | GGA-PBE | relaxed
data_TaAsSeN2
_space_group_name_H-M_alt 'P 1'
_space_group_IT_number 1
_space_group_name_Hall 'P 1'
_cell_length_a 4.0055
_cell_length_b 4.0055
_cell_length_c 5.4633
_cell_angle_alpha 90.00
_cell_angle_beta 90.00
_cell_angle_gamma 90.00
loop_
_atom_site_label
_atom_site_type_symbol
_atom_site_fract_x
_atom_site_fract_y
_atom_site_fract_z
Ta1 Ta 0.0000 0.0000 0.0000
As1 As 0.5000 0.5000 0.5000
Se1 Se 0.0000 0.0000 0.5000
N1 N 0.0000 0.5000 0.0000
N2 N 0.5000 0.0000 0.0000
# Total moment, μB per cell: 0.3
# DOS at the Fermi energy, states/eV/cell: 2.2
# Space group: P4/mmm (123)
# Formation energy (no corrections), kJ per mole of atoms: 37
# Energy above the most stable polymorph in this dataset, kJ per mole of atoms: 0.00